No. 1
VASP calculation (GGA-PBE) on a relaxed YSi2Ag3O7 crystal.

```
YSi2Ag3O7
1.0
9.5563 0.0000 0.0000
-4.7782 8.2760 0.0000
0.0000 0.0000 14.1799
Y Si Ag O
6 12 18 42
Direct
0.0000 0.0000 0.2500 Y
0.0000 0.0000 0.7500 Y
0.3333 0.6667 0.0169 Y
0.3333 0.6667 0.4831 Y
0.6667 0.3333 0.5169 Y
0.6667 0.3333 0.9831 Y
0.0174 0.6673 0.6417 Si
0.0174 0.6673 0.8583 Si
0.3327 0.3501 0.6417 Si
0.3327 0.3501 0.8583 Si
0.3501 0.0174 0.1417 Si
0.3501 0.0174 0.3583 Si
0.6499 0.9826 0.6417 Si
0.6499 0.9826 0.8583 Si
0.6673 0.6499 0.1417 Si
0.6673 0.6499 0.3583 Si
0.9826 0.3327 0.1417 Si
0.9826 0.3327 0.3583 Si
0.0000 0.0000 0.0000 Ag
0.0000 0.0000 0.5000 Ag
0.0067 0.6889 0.0890 Ag
0.0067 0.6889 0.4110 Ag
0.3111 0.3178 0.0890 Ag
0.3111 0.3178 0.4110 Ag
0.3178 0.0067 0.5890 Ag
0.3178 0.0067 0.9110 Ag
0.3333 0.6667 0.2500 Ag
0.3333 0.6667 0.7500 Ag
0.6667 0.3333 0.2500 Ag
0.6667 0.3333 0.7500 Ag
0.6822 0.9933 0.0890 Ag
0.6822 0.9933 0.4110 Ag
0.6889 0.6822 0.5890 Ag
0.6889 0.6822 0.9110 Ag
0.9933 0.3111 0.5890 Ag
0.9933 0.3111 0.9110 Ag
0.0487 0.2034 0.1450 O
0.0487 0.2034 0.3550 O
0.0902 0.6686 0.7500 O
0.1234 0.5170 0.1167 O
0.1234 0.5170 0.3833 O
0.1546 0.9513 0.1450 O
0.1546 0.9513 0.3550 O
0.1728 0.7291 0.5704 O
0.1728 0.7291 0.9296 O
0.2034 0.1546 0.6450 O
0.2034 0.1546 0.8550 O
0.2709 0.4437 0.5704 O
0.2709 0.4437 0.9296 O
0.3314 0.4217 0.7500 O
0.3937 0.8766 0.1167 O
0.3937 0.8766 0.3833 O
0.4217 0.0902 0.2500 O
0.4437 0.1728 0.0704 O
0.4437 0.1728 0.4296 O
0.4830 0.6063 0.1167 O
0.4830 0.6063 0.3833 O
0.5170 0.3937 0.6167 O
0.5170 0.3937 0.8833 O
0.5563 0.8272 0.5704 O
0.5563 0.8272 0.9296 O
0.5783 0.9098 0.7500 O
0.6063 0.1234 0.6167 O
0.6063 0.1234 0.8833 O
0.6686 0.5783 0.2500 O
0.7291 0.5563 0.0704 O
0.7291 0.5563 0.4296 O
0.7966 0.8454 0.1450 O
0.7966 0.8454 0.3550 O
0.8272 0.2709 0.0704 O
0.8272 0.2709 0.4296 O
0.8454 0.0487 0.6450 O
0.8454 0.0487 0.8550 O
0.8766 0.4830 0.6167 O
0.8766 0.4830 0.8833 O
0.9098 0.3314 0.2500 O
0.9513 0.7966 0.6450 O
0.9513 0.7966 0.8550 O
```

Results
**Formation energy from raw total energies**: -25.99 eV per formula unit
**E**: -6.659 eV/atom



No. 2
VASP calculation (GGA-PBE) on a relaxed Y2SiAgO crystal.

```
Y2SiAgO
1.0
5.3692 0.0000 0.0000
0.0000 5.3692 0.0000
0.0000 0.0000 4.5086
Y Si Ag O
2 1 1 1
Direct
0.0000 0.5000 0.0000 Y
0.5000 0.0000 0.0000 Y
0.0000 0.0000 0.0000 Si
0.0000 0.0000 0.5000 Ag
0.5000 0.5000 0.5000 O
```

Results
**Formation energy from raw total energies**: 0.00 eV per formula unit
**E**: -5.232 eV/atom



No. 3
VASP calculation (GGA-PBE) on a relaxed Zn3Si4Ag2O14 crystal.

```
Zn3Si4Ag2O14
1.0
9.0030 -3.9469 0.0000
9.0030 3.9469 0.0000
-5.7853 0.0000 8.4737
Zn Si Ag O
6 8 4 28
Direct
0.1114 0.8886 0.7500 Zn
0.2610 0.4529 0.6435 Zn
0.4529 0.2610 0.1435 Zn
0.5471 0.7390 0.8565 Zn
0.7390 0.5471 0.3565 Zn
0.8886 0.1114 0.2500 Zn
0.0223 0.2208 0.1142 Si
0.0852 0.5423 0.3079 Si
0.2208 0.0223 0.6142 Si
0.4577 0.9148 0.1921 Si
0.5423 0.0852 0.8079 Si
0.7792 0.9777 0.3858 Si
0.9148 0.4577 0.6921 Si
0.9777 0.7792 0.8858 Si
0.2597 0.7403 0.2500 Ag
0.5000 0.5000 0.0000 Ag
0.5000 0.5000 0.5000 Ag
0.7403 0.2597 0.7500 Ag
0.0143 0.8744 0.0784 O
0.0147 0.4094 0.1502 O
0.0632 0.2344 0.7053 O
0.0847 0.5445 0.4646 O
0.1256 0.9857 0.4216 O
0.1392 0.7104 0.8142 O
0.2344 0.0632 0.2053 O
0.2896 0.8608 0.6858 O
0.2981 0.4523 0.2978 O
0.3752 0.4894 0.0947 O
0.4094 0.0147 0.6502 O
0.4523 0.2981 0.7978 O
0.4555 0.9153 0.0354 O
0.4894 0.3752 0.5947 O
0.5106 0.6248 0.4053 O
0.5445 0.0847 0.9646 O
0.5477 0.7019 0.2022 O
0.5906 0.9853 0.3498 O
0.6248 0.5106 0.9053 O
0.7019 0.5477 0.7022 O
0.7104 0.1392 0.3142 O
0.7656 0.9368 0.7947 O
0.8608 0.2896 0.1858 O
0.8744 0.0143 0.5784 O
0.9153 0.4555 0.5354 O
0.9368 0.7656 0.2947 O
0.9853 0.5906 0.8498 O
0.9857 0.1256 0.9216 O
```

Results
**Formation energy from raw total energies**: -40.03 eV per formula unit
**E**: -6.116 eV/atom



No. 4
VASP calculation (GGA-PBE) on a relaxed ZnSi2AgO crystal.

```
ZnSi2AgO
1.0
4.9356 0.0000 0.0000
0.0000 4.9356 0.0000
0.0000 0.0000 3.6663
Zn Si Ag O
1 2 1 1
Direct
0.0000 0.0000 0.0000 Zn
0.0000 0.5000 0.0000 Si
0.5000 0.0000 0.0000 Si
0.5000 0.5000 0.5000 Ag
0.0000 0.0000 0.5000 O
```

Results
**Formation energy from raw total energies**: 2.85 eV per formula unit
**E**: -3.416 eV/atom



No. 5
VASP calculation (GGA-PBE) on a relaxed ZnSiAg2O4 crystal.

```
ZnSiAg2O4
1.0
-2.5224 2.5224 4.2429
2.5224 -2.5224 4.2429
2.5224 2.5224 -4.2429
Zn Si Ag O
1 1 2 4
Direct
0.0000 0.0000 0.0000 Zn
0.7500 0.2500 0.5000 Si
0.2500 0.7500 0.5000 Ag
0.5000 0.5000 0.0000 Ag
0.0134 0.5840 0.8744 O
0.4160 0.2904 0.4293 O
0.7096 0.1389 0.1256 O
0.8611 0.9866 0.5707 O
```

Results
**Formation energy from raw total energies**: -11.29 eV per formula unit
**E**: -5.441 eV/atom



No. 6
VASP calculation (GGA-PBE) on a relaxed Sm4AgO7 crystal.

```
Sm4AgO7
1.0
6.4691 -2.0529 0.0000
6.4691 2.0529 0.0000
-6.4611 0.0000 6.7007
Sm Ag O
4 1 7
Direct
0.0881 0.0881 0.4006 Sm
0.2502 0.2502 0.1616 Sm
0.7498 0.7498 0.8384 Sm
0.9119 0.9119 0.5994 Sm
0.5000 0.5000 0.0000 Ag
0.0000 0.0000 0.0000 O
0.1370 0.1370 0.6933 O
0.2975 0.2975 0.4476 O
0.4058 0.4058 0.1172 O
0.5942 0.5942 0.8828 O
0.7025 0.7025 0.5524 O
0.8630 0.8630 0.3067 O
```

Results
**Formation energy from raw total energies**: -33.87 eV per formula unit
**E**: -7.526 eV/atom



No. 7
VASP calculation (GGA-PBE) on a relaxed Sm3Ag5O12 crystal.

```
Sm3Ag5O12
1.0
-6.5916 6.5916 6.5916
6.5916 -6.5916 6.5916
6.5916 6.5916 -6.5916
Sm Ag O
12 20 48
Direct
0.1250 0.2500 0.3750 Sm
0.1250 0.3750 0.7500 Sm
0.2500 0.3750 0.1250 Sm
0.2500 0.8750 0.6250 Sm
0.3750 0.1250 0.2500 Sm
0.3750 0.7500 0.1250 Sm
0.6250 0.2500 0.8750 Sm
0.6250 0.8750 0.7500 Sm
0.7500 0.1250 0.3750 Sm
0.7500 0.6250 0.8750 Sm
0.8750 0.6250 0.2500 Sm
0.8750 0.7500 0.6250 Sm
0.0000 0.0000 0.0000 Ag
0.0000 0.0000 0.5000 Ag
0.0000 0.5000 0.0000 Ag
0.0000 0.5000 0.5000 Ag
0.1250 0.7500 0.8750 Ag
0.1250 0.8750 0.2500 Ag
0.2500 0.1250 0.8750 Ag
0.2500 0.6250 0.3750 Ag
0.3750 0.2500 0.6250 Ag
0.3750 0.6250 0.7500 Ag
0.5000 0.0000 0.0000 Ag
0.5000 0.0000 0.5000 Ag
0.5000 0.5000 0.0000 Ag
0.5000 0.5000 0.5000 Ag
0.6250 0.3750 0.2500 Ag
0.6250 0.7500 0.3750 Ag
0.7500 0.3750 0.6250 Ag
0.7500 0.8750 0.1250 Ag
0.8750 0.1250 0.7500 Ag
0.8750 0.2500 0.1250 Ag
0.0449 0.2090 0.1331 O
0.0449 0.3359 0.9118 O
0.0759 0.7090 0.6641 O
0.0759 0.8669 0.4118 O
0.0882 0.6331 0.4241 O
0.0882 0.9551 0.6641 O
0.1331 0.0449 0.2090 O
0.1331 0.5882 0.9241 O
0.1641 0.2090 0.5759 O
0.1641 0.4551 0.5882 O
0.2090 0.1331 0.0449 O
0.2090 0.5759 0.1641 O
0.2910 0.3359 0.9241 O
0.2910 0.4551 0.3669 O
0.3359 0.9118 0.0449 O
0.3359 0.9241 0.2910 O
0.3669 0.2910 0.4551 O
0.3669 0.5759 0.9118 O
0.4118 0.0759 0.8669 O
0.4118 0.8359 0.5449 O
0.4241 0.0882 0.6331 O
0.4241 0.8359 0.7910 O
0.4551 0.3669 0.2910 O
0.4551 0.5882 0.1641 O
0.5449 0.4118 0.8359 O
0.5449 0.6331 0.7090 O
0.5759 0.1641 0.2090 O
0.5759 0.9118 0.3669 O
0.5882 0.1641 0.4551 O
0.5882 0.9241 0.1331 O
0.6331 0.4241 0.0882 O
0.6331 0.7090 0.5449 O
0.6641 0.0759 0.7090 O
0.6641 0.0882 0.9551 O
0.7090 0.5449 0.6331 O
0.7090 0.6641 0.0759 O
0.7910 0.4241 0.8359 O
0.7910 0.8669 0.9551 O
0.8359 0.5449 0.4118 O
0.8359 0.7910 0.4241 O
0.8669 0.4118 0.0759 O
0.8669 0.9551 0.7910 O
0.9118 0.0449 0.3359 O
0.9118 0.3669 0.5759 O
0.9241 0.1331 0.5882 O
0.9241 0.2910 0.3359 O
0.9551 0.6641 0.0882 O
0.9551 0.7910 0.8669 O
```

Results
**Formation energy from raw total energies**: -22.58 eV per formula unit
**E**: -5.524 eV/atom



No. 8
VASP calculation (GGA-PBE) on a relaxed SmAg2O3 crystal.

```
SmAg2O3
1.0
3.1765 -5.7728 0.0000
3.1765 5.7728 0.0000
0.0000 0.0000 5.1372
Sm Ag O
2 4 6
Direct
0.2447 0.7553 0.7500 Sm
0.7553 0.2447 0.2500 Sm
0.2492 0.2492 0.0000 Ag
0.2492 0.2492 0.5000 Ag
0.7508 0.7508 0.0000 Ag
0.7508 0.7508 0.5000 Ag
0.0719 0.3699 0.7500 O
0.3681 0.6319 0.2500 O
0.3699 0.0719 0.2500 O
0.6301 0.9281 0.7500 O
0.6319 0.3681 0.7500 O
0.9281 0.6301 0.2500 O
```

Results
**Formation energy from raw total energies**: -5.55 eV per formula unit
**E**: -5.141 eV/atom



Which of these has the lowest formation energy from raw total energies? Zn3Si4Ag2O14